--- a ---
Density functional theory data (PBE-GGA) for an optimized crystal structure of MnTlCd.

The structure in extended XYZ format:
```
3
Lattice="0.000 3.276 3.276 3.276 0.000 3.276 3.276 3.276 0.000" Properties=species:S:1:pos:R:3 pbc="T T T"
Mn 0.000 0.000 0.000
Tl 1.638 1.638 1.638
Cd 4.914 4.914 4.914
```

Values from the calculation:
* V: 70.3 Å³ per cell
* magnetization: 3.5 μB/f.u.


--- b ---
Density functional theory data (PBE-GGA) for an optimized crystal structure of MnTlCd.

The structure in extended XYZ format:
```
3
Lattice="3.266 0.000 0.000 -1.633 2.829 0.000 0.000 0.000 7.141" Properties=species:S:1:pos:R:3 pbc="T T T"
Mn 0.000 0.000 0.000
Tl 1.633 0.943 2.312
Cd 0.000 1.886 4.965
```

Values from the calculation:
* V: 66.0 Å³ per cell
* magnetization: 4.1 μB/f.u.


Verdict on stability: a comes out at the bottom.


--- a ---
Density functional theory data (PBE-GGA) for an optimized crystal structure of MnVCd2.

The structure in extended XYZ format:
```
4
Lattice="0.000 3.295 3.295 3.295 0.000 3.295 3.295 3.295 0.000" Properties=species:S:1:pos:R:3 pbc="T T T"
Mn 0.000 0.000 0.000
V 3.295 3.295 3.295
Cd 1.647 1.647 1.647
Cd 4.942 4.942 4.942
```

Values from the calculation:
* V: 71.5 Å³ per cell
* magnetization: 1.0 μB/f.u.


--- b ---
Density functional theory data (PBE-GGA) for an optimized crystal structure of MnVCd2.

The structure in extended XYZ format:
```
8
Lattice="-3.800 3.800 2.759 3.800 -3.800 2.759 3.800 3.800 -2.759" Properties=species:S:1:pos:R:3 pbc="T T T"
Mn 0.000 0.000 0.000
Mn 0.000 3.800 1.380
V 3.800 0.000 1.380
V 0.000 0.000 2.759
Cd 1.900 1.838 -0.690
Cd 1.962 -1.900 3.449
Cd 1.900 1.962 2.070
Cd 1.838 5.700 0.690
```

Values from the calculation:
* V: 159.4 Å³ per cell
* magnetization: 1.1 μB/f.u.


Verdict on stability: b comes out at the bottom.


--- a ---
Density functional theory data (PBE-GGA) for an optimized crystal structure of MnCd2W.

The structure in extended XYZ format:
```
4
Lattice="1.455 0.840 9.764 -1.455 0.840 9.764 0.000 -1.680 9.764" Properties=species:S:1:pos:R:3 pbc="T T T"
Mn 0.000 0.000 0.000
Cd 0.000 0.000 7.376
Cd 0.000 0.000 21.915
W 0.000 0.000 14.646
```

Values from the calculation:
* V: 71.6 Å³ per cell
* magnetization: 3.7 μB/f.u.


--- b ---
Density functional theory data (PBE-GGA) for an optimized crystal structure of MnCd2W.

The structure in extended XYZ format:
```
4
Lattice="3.978 0.000 0.000 0.000 3.978 0.000 0.000 0.000 4.412" Properties=species:S:1:pos:R:3 pbc="T T T"
Mn 0.000 0.000 0.000
Cd 0.000 1.989 2.206
Cd 1.989 0.000 2.206
W 1.989 1.989 0.000
```

Values from the calculation:
* V: 69.8 Å³ per cell
* magnetization: 2.9 μB/f.u.


--- c ---
Density functional theory data (PBE-GGA) for an optimized crystal structure of MnCd2W.

The structure in extended XYZ format:
```
4
Lattice="1.475 0.852 9.556 -1.475 0.852 9.556 0.000 -1.704 9.556" Properties=species:S:1:pos:R:3 pbc="T T T"
Mn 0.000 0.000 0.000
Cd 0.000 0.000 7.176
Cd 0.000 0.000 13.886
W 0.000 0.000 20.866
```

Values from the calculation:
* V: 72.1 Å³ per cell
* magnetization: 1.7 μB/f.u.


Verdict on stability: b comes out at the bottom.


--- a ---
Density functional theory data (PBE-GGA) for an optimized crystal structure of Y2MnCd.

The structure in extended XYZ format:
```
4
Lattice="-2.240 2.240 4.835 2.240 -2.240 4.835 2.240 2.240 -4.835" Properties=species:S:1:pos:R:3 pbc="T T T"
Y 0.000 0.000 0.000
Y 0.000 2.240 2.418
Mn 0.000 0.000 4.835
Cd 2.240 0.000 2.418
```

Values from the calculation:
* V: 97.1 Å³ per cell
* magnetization: 2.4 μB/f.u.


--- b ---
Density functional theory data (PBE-GGA) for an optimized crystal structure of Y2MnCd.

The structure in extended XYZ format:
```
4
Lattice="3.548 0.000 0.000 0.000 3.575 0.000 0.000 0.000 7.694" Properties=species:S:1:pos:R:3 pbc="T T T"
Y 0.000 0.000 1.756
Y 0.000 0.000 5.937
Mn 1.774 1.788 0.000
Cd 1.774 1.788 3.847
```

Values from the calculation:
* V: 97.6 Å³ per cell
* magnetization: 3.0 μB/f.u.


--- c ---
Density functional theory data (PBE-GGA) for an optimized crystal structure of Y2MnCd.

The structure in extended XYZ format:
```
4
Lattice="1.773 1.023 9.494 -1.773 1.023 9.494 0.000 -2.047 9.494" Properties=species:S:1:pos:R:3 pbc="T T T"
Y 0.000 0.000 6.952
Y 0.000 0.000 21.530
Mn 0.000 0.000 14.241
Cd 0.000 0.000 0.000
```

Values from the calculation:
* V: 103.3 Å³ per cell
* magnetization: 3.0 μB/f.u.


Verdict on stability: c comes out at the bottom.


--- a ---
Density functional theory data (PBE-GGA) for an optimized crystal structure of Y2MnCd.

The structure in extended XYZ format:
```
4
Lattice="5.018 -1.760 0.000 5.018 1.760 0.000 -1.273 0.000 5.939" Properties=species:S:1:pos:R:3 pbc="T T T"
Y 2.169 0.000 1.432
Y 6.595 0.000 4.508
Mn 5.018 0.000 0.000
Cd -0.636 0.000 2.970
```

Values from the calculation:
* V: 104.9 Å³ per cell
* magnetization: 3.7 μB/f.u.


--- b ---
Density functional theory data (PBE-GGA) for an optimized crystal structure of Y2MnCd.

The structure in extended XYZ format:
```
4
Lattice="0.000 3.558 3.558 3.558 0.000 3.558 3.558 3.558 0.000" Properties=species:S:1:pos:R:3 pbc="T T T"
Y 1.779 1.779 1.779
Y 5.337 5.337 5.337
Mn 0.000 0.000 0.000
Cd 3.558 3.558 3.558
```

Values from the calculation:
* V: 90.1 Å³ per cell
* magnetization: 0.0 μB/f.u.


Verdict on stability: a comes out at the bottom.


--- a ---
Density functional theory data (PBE-GGA) for an optimized crystal structure of Y2MnCd.

The structure in extended XYZ format:
```
8
Lattice="-3.916 3.916 3.089 3.916 -3.916 3.089 3.916 3.916 -3.089" Properties=species:S:1:pos:R:3 pbc="T T T"
Y 1.958 1.579 -0.772
Y 2.338 -1.958 3.861
Y 1.958 2.338 2.316
Y 1.579 5.875 0.772
Mn 0.000 0.000 0.000
Mn 0.000 3.916 1.544
Cd 3.916 0.000 1.544
Cd 0.000 0.000 3.089
```

Values from the calculation:
* V: 189.5 Å³ per cell
* magnetization: 0.0 μB/f.u.


--- b ---
Density functional theory data (PBE-GGA) for an optimized crystal structure of Y2MnCd.

The structure in extended XYZ format:
```
4
Lattice="3.590 0.000 0.000 0.000 4.794 0.000 -1.779 0.000 5.834" Properties=species:S:1:pos:R:3 pbc="T T T"
Y 0.000 0.000 0.000
Y 0.004 2.397 3.590
Mn 1.797 0.000 2.630
Cd 1.798 2.397 0.999
```

Values from the calculation:
* V: 100.4 Å³ per cell
* magnetization: 2.8 μB/f.u.


--- c ---
Density functional theory data (PBE-GGA) for an optimized crystal structure of Y2MnCd.

The structure in extended XYZ format:
```
4
Lattice="5.182 0.000 0.000 0.000 5.182 0.000 0.000 0.000 3.682" Properties=species:S:1:pos:R:3 pbc="T T T"
Y 0.000 2.591 0.000
Y 2.591 0.000 0.000
Mn 0.000 0.000 1.841
Cd 2.591 2.591 1.841
```

Values from the calculation:
* V: 98.9 Å³ per cell
* magnetization: 3.3 μB/f.u.


Verdict on stability: a comes out at the bottom.


--- a ---
Density functional theory data (PBE-GGA) for an optimized crystal structure of Y2MnCd.

The structure in extended XYZ format:
```
4
Lattice="1.722 0.994 9.973 -1.722 0.994 9.973 0.000 -1.988 9.973" Properties=species:S:1:pos:R:3 pbc="T T T"
Y 0.000 0.000 0.000
Y 0.000 0.000 6.998
Mn 0.000 0.000 14.638
Cd 0.000 0.000 22.542
```

Values from the calculation:
* V: 102.4 Å³ per cell
* magnetization: 3.7 μB/f.u.


--- b ---
Density functional theory data (PBE-GGA) for an optimized crystal structure of Y2MnCd.

The structure in extended XYZ format:
```
4
Lattice="3.447 0.000 0.000 0.000 3.447 0.000 0.000 0.000 8.364" Properties=species:S:1:pos:R:3 pbc="T T T"
Y 0.000 0.000 0.000
Y 1.724 1.724 2.802
Mn 1.724 1.724 6.498
Cd 0.000 0.000 4.982
```

Values from the calculation:
* V: 99.4 Å³ per cell
* magnetization: 3.3 μB/f.u.


Verdict on stability: a comes out at the bottom.


--- a ---
Density functional theory data (PBE-GGA) for an optimized crystal structure of YMn3Cd.

The structure in extended XYZ format:
```
5
Lattice="4.966 0.000 0.000 0.000 4.966 0.000 0.000 0.000 4.966" Properties=species:S:1:pos:R:3 pbc="T T T"
Y 0.000 0.000 0.000
Mn 0.000 2.483 2.483
Mn 2.483 0.000 2.483
Mn 2.483 2.483 0.000
Cd 2.483 2.483 2.483
```

Values from the calculation:
* V: 122.5 Å³ per cell
* magnetization: 11.9 μB/f.u.


--- b ---
Density functional theory data (PBE-GGA) for an optimized crystal structure of YMn3Cd.

The structure in extended XYZ format:
```
5
Lattice="4.958 0.000 0.000 0.000 4.958 0.000 0.000 0.000 4.958" Properties=species:S:1:pos:R:3 pbc="T T T"
Y 0.000 0.000 0.000
Mn 0.000 0.000 2.479
Mn 0.000 2.479 0.000
Mn 2.479 0.000 0.000
Cd 2.479 2.479 2.479
```

Values from the calculation:
* V: 121.9 Å³ per cell
* magnetization: 10.4 μB/f.u.


Verdict on stability: b comes out at the bottom.


--- a ---
Density functional theory data (PBE-GGA) for an optimized crystal structure of Y4MnCd.

The structure in extended XYZ format:
```
12
Lattice="4.390 -6.429 0.000 4.390 6.429 0.000 -1.785 0.000 5.789" Properties=species:S:1:pos:R:3 pbc="T T T"
Y 1.776 4.265 5.523
Y 1.405 1.051 3.551
Y 4.326 4.265 3.161
Y 2.298 -1.051 0.656
Y 4.697 1.051 5.133
Y 2.669 -4.265 2.628
Y 5.590 -1.051 2.238
Y 5.218 -4.265 0.266
Mn 3.051 6.416 4.342
Mn 3.944 -6.416 1.447
Cd 3.944 1.607 1.447
Cd 3.051 -1.607 4.342
```

Values from the calculation:
* V: 326.8 Å³ per cell
* magnetization: 0.5 μB/f.u.


--- b ---
Density functional theory data (PBE-GGA) for an optimized crystal structure of Y4MnCd.

The structure in extended XYZ format:
```
6
Lattice="0.000 4.444 4.444 4.444 0.000 4.444 4.444 4.444 0.000" Properties=species:S:1:pos:R:3 pbc="T T T"
Y 1.114 1.114 1.114
Y 3.330 3.330 1.114
Y 3.330 1.114 3.330
Y 1.114 3.330 3.330
Mn 4.444 4.444 4.444
Cd 6.666 6.666 6.666
```

Values from the calculation:
* V: 175.6 Å³ per cell
* magnetization: 4.1 μB/f.u.


Verdict on stability: b comes out at the bottom.


--- a ---
Density functional theory data (PBE-GGA) for an optimized crystal structure of Mn2Zn2Cd.

The structure in extended XYZ format:
```
10
Lattice="7.273 0.000 0.000 0.000 7.273 0.000 0.000 0.000 2.951" Properties=species:S:1:pos:R:3 pbc="T T T"
Mn 1.217 2.420 0.000
Mn 2.420 6.056 0.000
Mn 4.853 1.217 0.000
Mn 6.056 4.853 0.000
Zn 0.929 4.565 1.476
Zn 2.707 0.929 1.476
Zn 4.565 6.343 1.476
Zn 6.343 2.707 1.476
Cd 0.000 0.000 1.476
Cd 3.636 3.636 1.476
```

Values from the calculation:
* V: 156.1 Å³ per cell
* magnetization: 6.5 μB/f.u.


--- b ---
Density functional theory data (PBE-GGA) for an optimized crystal structure of Mn2Zn2Cd.

The structure in extended XYZ format:
```
10
Lattice="7.467 0.000 0.000 0.000 7.467 0.000 0.000 0.000 2.841" Properties=species:S:1:pos:R:3 pbc="T T T"
Mn 0.928 2.806 0.000
Mn 2.806 6.540 0.000
Mn 4.661 0.928 0.000
Mn 6.540 4.661 0.000
Zn 1.281 5.015 1.420
Zn 2.452 1.281 1.420
Zn 5.015 6.186 1.420
Zn 6.186 2.452 1.420
Cd 0.000 0.000 0.000
Cd 3.734 3.734 0.000
```

Values from the calculation:
* V: 158.4 Å³ per cell
* magnetization: 6.4 μB/f.u.


Verdict on stability: b comes out at the bottom.


--- a ---
Density functional theory data (PBE-GGA) for an optimized crystal structure of MnZnCd3.

The structure in extended XYZ format:
```
5
Lattice="5.056 0.000 0.000 0.000 5.056 0.000 0.000 0.000 5.056" Properties=species:S:1:pos:R:3 pbc="T T T"
Mn 0.000 0.000 0.000
Zn 2.528 2.528 2.528
Cd 0.000 0.000 2.528
Cd 0.000 2.528 0.000
Cd 2.528 0.000 0.000
```

Values from the calculation:
* V: 129.2 Å³ per cell
* magnetization: 0.0 μB/f.u.


--- b ---
Density functional theory data (PBE-GGA) for an optimized crystal structure of MnZnCd3.

The structure in extended XYZ format:
```
5
Lattice="5.015 0.000 0.000 0.000 5.015 0.000 0.000 0.000 5.015" Properties=species:S:1:pos:R:3 pbc="T T T"
Mn 0.000 0.000 0.000
Zn 2.508 2.508 2.508
Cd 0.000 2.508 2.508
Cd 2.508 0.000 2.508
Cd 2.508 2.508 0.000
```

Values from the calculation:
* V: 126.1 Å³ per cell
* magnetization: 4.7 μB/f.u.


Verdict on stability: a comes out at the bottom.


--- a ---
Density functional theory data (PBE-GGA) for an optimized crystal structure of ZrMnCd2.

The structure in extended XYZ format:
```
4
Lattice="-1.573 2.567 4.956 1.573 -2.567 4.956 1.573 2.567 -4.956" Properties=species:S:1:pos:R:3 pbc="T T T"
Zr 0.000 0.000 0.000
Mn 0.000 2.567 2.670
Cd 1.573 0.000 2.732
Cd 0.000 0.000 5.273
```

Values from the calculation:
* V: 80.1 Å³ per cell
* magnetization: 2.5 μB/f.u.


--- b ---
Density functional theory data (PBE-GGA) for an optimized crystal structure of ZrMnCd2.

The structure in extended XYZ format:
```
4
Lattice="1.533 0.885 9.985 -1.533 0.885 9.985 0.000 -1.770 9.985" Properties=species:S:1:pos:R:3 pbc="T T T"
Zr 0.000 0.000 0.000
Mn 0.000 0.000 14.978
Cd 0.000 0.000 7.307
Cd 0.000 0.000 22.648
```

Values from the calculation:
* V: 81.3 Å³ per cell
* magnetization: 3.7 μB/f.u.


Verdict on stability: b comes out at the bottom.


--- a ---
Density functional theory data (PBE-GGA) for an optimized crystal structure of ZrMnCd2.

The structure in extended XYZ format:
```
4
Lattice="-2.208 2.208 4.052 2.208 -2.208 4.052 2.208 2.208 -4.052" Properties=species:S:1:pos:R:3 pbc="T T T"
Zr 0.000 0.000 0.000
Mn 0.000 2.208 2.026
Cd 2.208 0.000 2.026
Cd 0.000 0.000 4.052
```

Values from the calculation:
* V: 79.0 Å³ per cell
* magnetization: 3.0 μB/f.u.


--- b ---
Density functional theory data (PBE-GGA) for an optimized crystal structure of ZrMnCd2.

The structure in extended XYZ format:
```
4
Lattice="3.165 0.000 0.000 0.000 3.165 0.000 0.000 0.000 7.964" Properties=species:S:1:pos:R:3 pbc="T T T"
Zr 0.000 0.000 0.000
Mn 1.583 1.583 1.810
Cd 0.000 0.000 3.599
Cd 1.583 1.583 5.712
```

Values from the calculation:
* V: 79.8 Å³ per cell
* magnetization: 3.4 μB/f.u.


Verdict on stability: a comes out at the bottom.